No. 1
Crystalline DyPaGaGe at its relaxed geometry. Source: Alexandria, functional PBE.

Computed properties:
- ρ (g/cm3) = 9.82
- total DFT energy (no corrections) (eV/atom) = -5.78
- N(E_F) (states/eV per cell) = 6.5
- calculated formation energy (meV per atom) = -347.9

Cell and atoms, written as extended XYZ:
```
4
Lattice="-4.0938 -2.9414 -0.0717 -1.0237 -2.9915 3.9268 -3.9060 1.0424 3.0122" Properties=species:S:1:pos:R:3 pbc="T T T"
Pa -2.2559 -1.2226 1.7168
Ga -4.5117 -2.4453 3.4336
Ge 0.0000 0.0000 0.0000
Dy -6.7676 -3.6679 5.1504
```



No. 2
Crystalline MgZr2Cd6 at its relaxed geometry. Source: Alexandria, functional PBE.

Computed properties:
- ρ (g/cm3) = 6.83
- total DFT energy (no corrections) (eV/atom) = -2.63
- N(E_F) (states/eV per cell) = 6.6
- calculated formation energy (meV per atom) = 52.4

Cell and atoms, written as extended XYZ:
```
9
Lattice="4.5597 0.0000 -1.4960 -0.9214 5.4820 -2.8083 0.1467 0.6588 8.1438" Properties=species:S:1:pos:R:3 pbc="T T T"
Cd 3.2394 3.3872 2.1765
Cd 3.6894 0.7100 3.5480
Cd 0.5456 2.7536 1.6629
Cd -0.2166 1.2886 -0.6602
Cd -0.7048 4.1933 -2.1482
Cd 0.0956 5.4309 0.2914
Zr 2.6752 0.6838 0.4571
Zr 1.1097 5.4570 3.3823
Mg 1.8191 2.7410 -2.1522
```



No. 3
Crystalline PrSm6Tm3 at its relaxed geometry. Source: Alexandria, functional PBE.

Computed properties:
- ρ (g/cm3) = 7.63
- total DFT energy (no corrections) (eV/atom) = -4.41
- N(E_F) (states/eV per cell) = 19.6
- calculated formation energy (meV per atom) = 241.6

Cell and atoms, written as extended XYZ:
```
10
Lattice="-8.8753 2.7690 -3.3292 -7.9268 -0.7786 5.8379 -4.9591 4.3598 2.2003" Properties=species:S:1:pos:R:3 pbc="T T T"
Tm -5.2553 2.6534 1.5706
Tm -10.6872 4.2894 2.7657
Tm -11.1595 1.5684 1.7616
Sm -10.9988 5.4484 -0.2595
Sm -10.6819 1.2462 5.1437
Sm -7.7650 3.3663 3.8617
Sm -8.3656 2.6975 0.1215
Sm -13.9806 3.3563 0.9771
Sm -13.3029 4.0240 4.6841
Pr -16.6093 3.1012 2.9186
```



No. 4
Crystalline Sm3Tm4 at its relaxed geometry. Source: Alexandria, functional PBE.

Computed properties:
- ρ (g/cm3) = 8.47
- total DFT energy (no corrections) (eV/atom) = -4.55
- N(E_F) (states/eV per cell) = 9.9
- calculated formation energy (meV per atom) = 23.2

Cell and atoms, written as extended XYZ:
```
7
Lattice="5.0130 0.0000 0.0000 -2.5065 5.6081 0.1795 0.0000 0.8849 7.8841" Properties=species:S:1:pos:R:3 pbc="T T T"
Sm 2.5065 3.1512 6.8142
Sm 0.0000 3.3418 1.2493
Sm 0.0000 0.0000 0.0000
Tm 2.5065 1.0676 2.3138
Tm 0.0000 5.4253 5.7498
Tm 0.0000 2.1013 4.5493
Tm 2.5065 4.3917 3.5143
```



No. 5
Crystalline FeTcNi2 at its relaxed geometry. Source: Alexandria, functional PBE.

Computed properties:
- ρ (g/cm3) = 9.34
- total DFT energy (no corrections) (eV/atom) = -7.49
- N(E_F) (states/eV per cell) = 6.6
- calculated formation energy (meV per atom) = 104.8

Cell and atoms, written as extended XYZ:
```
4
Lattice="2.5462 0.0000 0.0000 0.0000 4.4812 -0.0229 0.0000 2.9357 4.2105" Properties=species:S:1:pos:R:3 pbc="T T T"
Tc 1.2731 3.7084 2.0938
Fe 0.0000 1.4678 2.1052
Ni 1.2731 2.2406 -0.0115
Ni 0.0000 0.0000 0.0000
```



No. 6
Crystalline Pu6TeSe5 at its relaxed geometry. Source: Alexandria, functional PBE.

Computed properties:
- ρ (g/cm3) = 10.47
- total DFT energy (no corrections) (eV/atom) = -10.32
- N(E_F) (states/eV per cell) = 56.1

Cell and atoms, written as extended XYZ:
```
12
Lattice="7.1983 0.1778 1.0948 1.7718 6.0961 3.5547 0.1227 0.0610 7.2804" Properties=species:S:1:pos:R:3 pbc="T T T"
Se 1.2644 4.1101 7.2137
Se 3.9673 1.1104 6.0583
Se 4.4850 3.1370 2.3247
Se 5.1256 5.2246 5.8716
Se 0.6302 2.0471 3.6214
Pu 2.2952 1.6391 1.2080
Pu 6.6749 4.6348 3.4414
Pu 3.5604 5.6568 8.2917
Pu 2.9093 3.5278 4.8211
Pu 6.1835 2.8072 7.1088
Pu 5.5324 0.6782 3.6382
Te 0.0000 0.0000 0.0000
```



No. 7
Crystalline InSe at its relaxed geometry. Source: Alexandria, functional PBE.

Computed properties:
- ρ (g/cm3) = 6.04
- total DFT energy (no corrections) (eV/atom) = -3.49
- N(E_F) (states/eV per cell) = 1.5

Cell and atoms, written as extended XYZ:
```
6
Lattice="1.9804 6.4746 -0.0186 -1.9804 6.4746 -0.0186 0.0000 1.8905 6.2224" Properties=species:S:1:pos:R:3 pbc="T T T"
In 0.0000 5.7517 5.3850
In 0.0000 9.1247 2.7665
In 0.0000 12.6304 0.7878
Se 0.0000 13.8490 3.5148
Se 0.0000 4.5254 2.8434
Se 0.0000 8.4838 0.1159
```



No. 8
Crystalline Er4CuAg at its relaxed geometry. Source: Alexandria, functional PBE.

Computed properties:
- ρ (g/cm3) = 8.37
- total DFT energy (no corrections) (eV/atom) = -4.17
- N(E_F) (states/eV per cell) = 17.4
- calculated formation energy (meV per atom) = 24.8

Cell and atoms, written as extended XYZ:
```
12
Lattice="6.8404 0.0000 -0.2483 0.0000 7.1279 0.0000 -0.3500 0.0000 6.8541" Properties=species:S:1:pos:R:3 pbc="T T T"
Er 2.5281 6.0292 1.0189
Er 4.4024 4.7341 4.3030
Er 2.0880 2.3938 2.3028
Er 5.9483 4.6627 0.8947
Er 5.5082 1.1701 2.1787
Er 0.5421 2.4652 5.7111
Er 3.9623 1.0988 5.5869
Er 0.9822 5.9578 4.4271
Ag 0.0000 0.0000 0.0000
Ag 3.4202 3.5640 -0.1241
Cu -0.1750 3.5640 3.4270
Cu 3.2452 0.0000 3.3029
```



No. 9
Crystalline Sc2CrPt at its relaxed geometry. Source: Alexandria, functional PBE.

Computed properties:
- ρ (g/cm3) = 7.90
- total DFT energy (no corrections) (eV/atom) = -7.59
- N(E_F) (states/eV per cell) = 3.0
- calculated formation energy (meV per atom) = -507.8

Cell and atoms, written as extended XYZ:
```
4
Lattice="-0.9081 -2.7987 1.5788 -0.2578 -1.5718 -2.9346 6.0961 -1.7510 0.4022" Properties=species:S:1:pos:R:3 pbc="T T T"
Pt 3.9891 -3.4985 -0.3762
Sc 3.0424 -0.8739 0.2007
Sc 0.0056 -0.0016 0.0004
Cr 0.9411 -2.6230 -0.5773
```



No. 10
Crystalline Tb2Tm4ZrSc at its relaxed geometry. Source: Alexandria, functional PBE.

Computed properties:
- ρ (g/cm3) = 8.19
- total DFT energy (no corrections) (eV/atom) = -5.19
- N(E_F) (states/eV per cell) = 11.4
- calculated formation energy (meV per atom) = 60.5

Cell and atoms, written as extended XYZ:
```
8
Lattice="-2.3495 3.9307 -1.6427 -0.4889 -2.1082 -4.3455 -8.9259 -5.9691 -1.5168" Properties=species:S:1:pos:R:3 pbc="T T T"
Tb -8.9259 -5.9691 -1.5168
Tb -5.6377 -1.0192 -1.5797
Tm -7.9409 -3.0155 -3.0624
Tm -4.7530 1.8884 -3.0921
Tm -7.0113 -6.0350 -4.4129
Tm -3.8234 -1.1312 -4.4426
Sc -1.4192 0.9112 -2.9941
Zr -4.7074 -4.0387 -2.9311
```



No. 11
Crystalline Tl4BiTe4 at its relaxed geometry. Source: Alexandria, functional PBE.

Computed properties:
- ρ (g/cm3) = 6.90
- total DFT energy (no corrections) (eV/atom) = -3.04
- N(E_F) (states/eV per cell) = 7.0

Cell and atoms, written as extended XYZ:
```
9
Lattice="8.1960 0.0000 0.0000 0.0000 8.1960 0.0000 -4.0980 -4.0980 5.5063" Properties=species:S:1:pos:R:3 pbc="T T T"
Tl 0.0000 4.0980 0.0000
Tl 4.0980 0.0000 0.0000
Tl 4.0980 4.0980 1.6791
Tl 0.0000 0.0000 3.8272
Te -2.3357 -2.3357 3.7929
Te 2.3357 2.3357 3.7929
Te 1.7623 6.4337 1.7134
Te 6.4337 1.7623 1.7134
Bi 0.0000 0.0000 0.0000
```



No. 12
Crystalline NdGdPu at its relaxed geometry. Source: Alexandria, functional PBE.

Computed properties:
- ρ (g/cm3) = 9.51
- total DFT energy (no corrections) (eV/atom) = -10.93
- N(E_F) (states/eV per cell) = 6.9
- calculated formation energy (meV per atom) = 131.8

Cell and atoms, written as extended XYZ:
```
3
Lattice="-1.9685 -2.5773 1.4407 1.9136 -2.4323 -1.7364 4.8184 2.1078 5.9839" Properties=species:S:1:pos:R:3 pbc="T T T"
Gd 3.2449 -0.2689 3.9528
Nd 1.5310 -2.6339 1.7506
Pu 4.7510 -2.9007 5.6730
```